Entry 1:
A plane-wave DFT calculation with PBE was carried out for crystalline TbPrDy2Tm2 at its relaxed geometry.

Properties
E_form	0.2823	eV/atom
total energy	-4.3106	eV per atom

Unit cell a=3.3840 b=6.5831 c=17.6278 alpha=90.00 beta=90.00 gamma=90.00
Closest atoms and distances in Å follow each position.
Positions (direct):
1 Tb 0.5000 0.5000 0.0000  2 Tb 3.38, 4 Dy 3.48, 4 Pr 3.70
2 Tb 0.0000 0.0000 0.5000  2 Tb 3.38, 4 Dy 3.48, 4 Pr 3.70
3 Dy 0.0000 0.7237 0.1508  1 Pr 3.22, 4 Tm 3.32-3.39, 2 Dy 3.38, 2 Tb 3.48
4 Dy 0.5000 0.2237 0.3492  1 Pr 3.22, 4 Tm 3.32-3.39, 2 Dy 3.38, 2 Tb 3.48
5 Dy 0.0000 0.2763 0.8492  1 Pr 3.22, 4 Tm 3.32-3.39, 2 Dy 3.38, 2 Tb 3.48
6 Dy 0.5000 0.7763 0.6508  1 Pr 3.22, 4 Tm 3.32-3.39, 2 Dy 3.38, 2 Tb 3.48
7 Pr 0.0000 0.0000 0.0000  2 Dy 3.22, 2 Pr 3.38, 2 Tm 3.55
8 Pr 0.5000 0.5000 0.5000  2 Dy 3.22, 2 Pr 3.38, 2 Tm 3.55
9 Tm 0.0000 0.2271 0.1824  4 Dy 3.32-3.39, 2 Tm 3.38, 1 Pr 3.55
10 Tm 0.5000 0.7271 0.3176  4 Dy 3.32-3.39, 2 Tm 3.38, 1 Pr 3.55
11 Tm 0.5000 0.2729 0.6824  4 Dy 3.32-3.39, 2 Tm 3.38, 1 Pr 3.55
12 Tm 0.0000 0.7729 0.8176  4 Dy 3.32-3.39, 2 Tm 3.38, 1 Pr 3.55


Entry 2:
A plane-wave DFT calculation with PBE was carried out for crystalline Tb4PrDy2Tm at its relaxed geometry.

Properties
E_form	0.4274	eV/atom
total energy	-4.1947	eV per atom

Unit cell a=9.4949 b=9.4949 c=11.7786 alpha=128.34 beta=128.34 gamma=88.49
Closest atoms and distances in Å follow each position.
Positions (direct):
1 Tb 0.7505 0.2466 0.9989  1 Tm 3.29, 3 Dy 3.34-3.40, 2 Tb 3.38-3.42, 2 Pr 3.40-3.41
2 Tb 0.7488 0.7518 0.5018  3 Dy 3.29-3.42, 1 Pr 3.33, 2 Tm 3.38-3.39, 2 Tb 3.40
3 Tb 0.2495 0.7534 0.0011  1 Tm 3.29, 3 Dy 3.34-3.40, 2 Tb 3.38-3.42, 2 Pr 3.40-3.41
4 Tb 0.2517 0.2488 0.0018  3 Dy 3.29-3.42, 1 Pr 3.33, 2 Tm 3.38-3.39, 2 Tb 3.40
5 Tb 0.7482 0.7512 0.9982  3 Dy 3.29-3.42, 1 Pr 3.33, 2 Tm 3.38-3.39, 2 Tb 3.40
6 Tb 0.7466 0.2505 0.4989  1 Tm 3.29, 3 Dy 3.34-3.40, 2 Tb 3.38-3.42, 2 Pr 3.40-3.41
7 Tb 0.2534 0.7495 0.5011  1 Tm 3.29, 3 Dy 3.34-3.40, 2 Tb 3.38-3.42, 2 Pr 3.40-3.41
8 Tb 0.2512 0.2483 0.4982  3 Dy 3.29-3.42, 1 Pr 3.33, 2 Tm 3.38-3.39, 2 Tb 3.40
9 Pr 0.0000 0.5000 0.5000  6 Tb 3.33-3.41, 2 Dy 3.40
10 Pr 0.0000 0.5000 0.0000  6 Tb 3.33-3.41, 2 Dy 3.40
11 Dy 0.0000 0.0000 0.5000  6 Tb 3.34-3.42, 2 Dy 3.40
12 Dy 0.5000 0.5000 0.0000  6 Tb 3.34-3.42, 2 Dy 3.40
13 Dy 0.5000 0.0000 0.0000  6 Tb 3.29-3.40, 2 Pr 3.40
14 Dy 0.5000 0.0000 0.5000  6 Tb 3.29-3.40, 2 Pr 3.40
15 Tm 0.5000 0.5000 0.5000  6 Tb 3.29-3.39, 2 Tm 3.40
16 Tm 0.0000 0.0000 0.0000  6 Tb 3.29-3.39, 2 Tm 3.40


DOS at the Fermi energy (computed, states/eV per atom): 1.537; 2.282
Calculated density (computed, g/cm³): 8.14; 7.95